CePm5Dy4: optimized geometry, PBE.

Cell: 17.929 3.507 10.995 Å, 90.00 106.85 90.00°
Space group C2/m (No. 12)
Unique sites:
Ce 0.000 0.000 0.000 [2 per cell]
Pm 0.000 0.000 0.500 [2 per cell]
Pm 0.104 0.500 0.283 [4 per cell]
Pm 0.206 0.500 0.601 [4 per cell]
Dy 0.094 0.500 0.812 [4 per cell]
Dy 0.195 0.000 0.081 [4 per cell]

Calculated values
DOS at the Fermi energy   34.591 states/eV per cell
E_form   10 kJ per mole of atoms
Magnetization   0.043 μB/atom

---

BaMg2Fe: optimized geometry, PBE.

Cell: 4.550 4.550 5.329 Å, 90.00 90.00 90.00°
Space group P4/mmm (No. 123)
Unique sites:
Ba 0.000 0.000 0.000 [1 per cell]
Mg 0.000 0.500 0.500 [2 per cell]
Fe 0.500 0.500 0.000 [1 per cell]

Calculated values
DOS at the Fermi energy   5.675 states/eV per cell
E_form   54 kJ per mole of atoms
Magnetization   0.572 μB/atom

---

LiSc2Ni: optimized geometry, PBE.

Cell: 6.561 3.267 8.087 Å, 90.00 98.23 90.00°
Space group C2/m (No. 12)
Unique sites:
Li 0.000 0.000 0.000 [2 per cell]
Sc 0.231 0.000 0.688 [4 per cell]
Ni 0.000 0.500 0.500 [2 per cell]

Calculated values
DOS at the Fermi energy   8.640 states/eV per cell
E_form   -2 kJ per mole of atoms
Magnetization   0.000 μB/atom

---

Tl2HgPb: optimized geometry, PBE.

Cell: 7.975 8.075 3.718 Å, 90.00 90.00 90.00°
Space group Cmmm (No. 65)
Unique sites:
Tl 0.250 0.250 0.000 [4 per cell]
Hg 0.000 0.000 0.500 [2 per cell]
Pb 0.000 0.500 0.500 [2 per cell]

Calculated values
DOS at the Fermi energy   4.761 states/eV per cell
E_form   0 kJ per mole of atoms
Magnetization   0.000 μB/atom